1.
The following is a GGA-PBE calculation of a relaxed KN3Cl12 crystal, from the Alexandria database.

Computed properties:
formation energy from raw total energies: 174 meV/atom
volume: 1447.4 Å³/cell

abc: 13.640 13.640 13.640
angles: 51.78 51.78 51.78
Positions (direct):
K1 0.000 0.000 0.000
K2 0.500 0.500 0.500
N1 0.067 0.392 0.611
N2 0.111 0.892 0.567
N3 0.392 0.611 0.067
N4 0.567 0.111 0.892
N5 0.611 0.067 0.392
N6 0.892 0.567 0.111
Cl1 0.025 0.527 0.972
Cl2 0.027 0.525 0.472
Cl3 0.141 0.415 0.661
Cl4 0.161 0.915 0.641
Cl5 0.241 0.462 0.742
Cl6 0.242 0.962 0.741
Cl7 0.249 0.833 0.434
Cl8 0.333 0.749 0.934
Cl9 0.415 0.661 0.141
Cl10 0.434 0.249 0.833
Cl11 0.462 0.742 0.241
Cl12 0.472 0.027 0.525
Cl13 0.525 0.472 0.027
Cl14 0.527 0.972 0.025
Cl15 0.641 0.161 0.915
Cl16 0.661 0.141 0.415
Cl17 0.741 0.242 0.962
Cl18 0.742 0.241 0.462
Cl19 0.749 0.934 0.333
Cl20 0.833 0.434 0.249
Cl21 0.915 0.641 0.161
Cl22 0.934 0.333 0.749
Cl23 0.962 0.741 0.242
Cl24 0.972 0.025 0.527

2.
The following is a GGA-PBE calculation of a relaxed CeZrCu crystal, from the Alexandria database.

Computed properties:
energy of formation from the pure elements: -0.0188 eV/atom
relative energy among the computed polymorphs: 15 meV per atom
volume: 128.9 Å³/cell

abc: 3.232 3.232 12.341
angles: 90.00 90.00 90.00
Positions (direct):
Ce1 0.000 0.000 0.000
Ce2 0.500 0.500 0.500
Zr1 0.000 0.000 0.303
Zr2 0.500 0.500 0.803
Cu1 0.000 0.000 0.672
Cu2 0.500 0.500 0.172

3.
The following is a GGA-PBE calculation of a relaxed CaHgMo crystal, from the Alexandria database.

Computed properties:
energy of formation from the pure elements: 0.5823 eV/atom
relative energy among the computed polymorphs: 101 meV per atom
volume: 135.0 Å³/cell

abc: 3.112 3.836 11.308
angles: 90.00 90.00 90.00
Positions (direct):
Ca1 0.000 0.000 0.000
Ca2 0.500 0.500 0.500
Hg1 0.000 0.000 0.689
Hg2 0.500 0.500 0.189
Mo1 0.000 0.000 0.315
Mo2 0.500 0.500 0.815

4.
The following is a GGA-PBE calculation of a relaxed SiIr crystal, from the Alexandria database.

Computed properties:
formation energy from raw total energies: -495 meV/atom
volume: 164.7 Å³/cell

abc: 8.846 2.877 6.850
angles: 90.00 109.13 90.00
Positions (direct):
Si1 0.000 0.000 0.000
Si2 0.086 0.000 0.600
Si3 0.352 0.000 0.251
Si4 0.500 0.500 0.000
Si5 0.586 0.500 0.600
Si6 0.852 0.500 0.251
Ir1 0.139 0.500 0.316
Ir2 0.212 0.500 0.935
Ir3 0.384 0.000 0.675
Ir4 0.639 0.000 0.316
Ir5 0.712 0.000 0.935
Ir6 0.884 0.500 0.675

5.
The following is a GGA-PBE calculation of a relaxed FeCoPt4 crystal, from the Alexandria database.

Computed properties:
energy of formation from the pure elements: 0.0445 eV/atom
relative energy among the computed polymorphs: 0 meV per atom
volume: 189.1 Å³/cell

abc: 6.353 6.353 6.487
angles: 120.64 120.64 84.42
Positions (direct):
Fe1 0.024 0.976 0.750
Fe2 0.976 0.024 0.250
Co1 0.000 0.500 0.500
Co2 0.500 0.000 0.000
Pt1 0.235 0.765 0.039
Pt2 0.235 0.765 0.461
Pt3 0.294 0.294 0.294
Pt4 0.294 0.294 0.794
Pt5 0.706 0.706 0.206
Pt6 0.706 0.706 0.706
Pt7 0.765 0.235 0.539
Pt8 0.765 0.235 0.961

6.
The following is a GGA-PBE calculation of a relaxed Sr2YTe crystal, from the Alexandria database.

Computed properties:
formation energy from raw total energies: -147 meV/atom
volume: 573.1 Å³/cell

abc: 8.306 8.306 8.306
angles: 90.00 90.00 90.00
Positions (direct):
Sr1 0.000 0.000 0.000
Sr2 0.000 0.500 0.500
Sr3 0.250 0.250 0.250
Sr4 0.250 0.750 0.750
Sr5 0.500 0.000 0.500
Sr6 0.500 0.500 0.000
Sr7 0.750 0.250 0.750
Sr8 0.750 0.750 0.250
Y1 0.000 0.000 0.500
Y2 0.000 0.500 0.000
Y3 0.500 0.000 0.000
Y4 0.500 0.500 0.500
Te1 0.250 0.250 0.750
Te2 0.250 0.750 0.250
Te3 0.750 0.250 0.250
Te4 0.750 0.750 0.750

7.
The following is a GGA-PBE calculation of a relaxed BaPbS3 crystal, from the Alexandria database.

Computed properties:
formation energy from raw total energies: 121 meV/atom
volume: 175.2 Å³/cell

abc: 5.595 5.595 5.595
angles: 90.00 90.00 90.00
Positions (direct):
Ba1 0.000 0.000 0.000
Pb1 0.500 0.500 0.500
S1 0.000 0.000 0.500
S2 0.000 0.500 0.000
S3 0.500 0.000 0.000

8.
The following is a GGA-PBE calculation of a relaxed RbTl12Au7 crystal, from the Alexandria database.

Computed properties:
energy of formation from the pure elements: -0.0392 eV/atom
volume: 552.9 Å³/cell

abc: 9.087 9.087 9.087
angles: 110.57 110.57 110.57
Positions (direct):
Rb1 0.000 0.000 0.000
Tl1 0.077 0.196 0.731
Tl2 0.124 0.563 0.378
Tl3 0.196 0.731 0.077
Tl4 0.269 0.923 0.804
Tl5 0.378 0.124 0.563
Tl6 0.437 0.622 0.876
Tl7 0.563 0.378 0.124
Tl8 0.622 0.876 0.437
Tl9 0.731 0.077 0.196
Tl10 0.804 0.269 0.923
Tl11 0.876 0.437 0.622
Tl12 0.923 0.804 0.269
Au1 0.149 0.293 0.476
Au2 0.293 0.476 0.149
Au3 0.476 0.149 0.293
Au4 0.500 0.500 0.500
Au5 0.524 0.851 0.707
Au6 0.707 0.524 0.851
Au7 0.851 0.707 0.524

What is the formula in the sixth record? Sr2YTe

Which value of volume does entry 4 give? 164.7 Å³/cell